# 1
DFT (PBE-GGA) results for a relaxed structure of PrMgAsO.

Cell: 4.5751 6.3461 6.0517 Å, 90.00 90.00 90.00°
Space group Pmc2_1 (No. 26)
Inequivalent atoms, fractional coordinates:
1 Pr 0.0000 0.2376 0.0000
2 Mg 0.5000 0.3820 0.6207
3 As 0.0000 0.2336 0.4966
4 O 0.5000 0.3461 0.9527

---

# 2
DFT (PBE-GGA) results for a relaxed structure of MgAsPtO.

Properties
The calculation puts the excess energy over the best structure of this formula in the dataset at 0 meV/atom.

Cell: 4.0126 4.0126 8.8209 Å, 90.00 90.00 90.00°
Space group P4/nmm (No. 129, origin choice 2)
Inequivalent atoms, fractional coordinates:
1 Mg 0.2500 0.2500 0.0110
2 As 0.2500 0.2500 0.6696
3 Pt 0.2500 0.7500 0.5000
4 O 0.2500 0.7500 0.0000

---

# 3
DFT (PBE-GGA) results for a relaxed structure of MgAsPtO.

Properties
The calculation puts the excess energy over the best structure of this formula in the dataset at 965 meV/atom.

Cell: 3.9890 3.9890 7.6057 Å, 90.00 90.00 90.00°
Space group P4/nmm (No. 129, origin choice 2)
Inequivalent atoms, fractional coordinates:
1 Mg 0.2500 0.7500 0.0000
2 As 0.2500 0.2500 0.3686
3 Pt 0.2500 0.2500 0.7757
4 O 0.2500 0.7500 0.5000

---

# 4
DFT (PBE-GGA) results for a relaxed structure of MgAsPtO.

Properties
The calculation puts the excess energy over the best structure of this formula in the dataset at 527 meV/atom.

Cell: 4.5605 5.1192 5.4576 Å, 90.00 90.00 90.00°
Space group Pmc2_1 (No. 26)
Inequivalent atoms, fractional coordinates:
1 Mg 0.0000 0.1828 0.0000
2 As 0.5000 0.3332 0.8041
3 Pt 0.5000 0.1766 0.3700
4 O 0.0000 0.1667 0.3531

---

| no. | E (eV/atom) | calculated volume (Å³ per cell) | total moment (μB/cell) |
| --- | --- | --- | --- |
| 1 | -5.877 | 175.71 | 0.0 |
| 2 | -5.530 | 142.02 | 0.0 |
| 3 | -4.564 | 121.02 | 0.0 |
| 4 | -5.003 | 127.41 | 0.0 |